This record from Alexandria describes crystalline MnCu2PtO8 at its relaxed geometry. The functional is PBE+U.

The structure belongs to space group I-4m2 (No. 119); the cell edges are 6.255, 6.255 and 6.746 Å and the angles 90.00°, 90.00° and 90.00°. Symmetry generates all atoms from Mn at (0.000, 0.000, 0.000), Cu at (0.000, 0.000, 0.500), Cu at (0.000, 0.500, 0.750), Pt at (0.000, 0.500, 0.250), O at (0.000, 0.185, 0.280) and O at (0.000, 0.312, 0.961).

For the electronic total energy, the calculation gives -5.30 eV per atom. As for the volume: 264.0 Å³/cell. Its crystal system is tetragonal.